Record 1
## PmDy3In4 (PBE-GGA)

Data for a geometry-optimized PmDy3In4 structure.

Cell and atoms, written as POSCAR:
```
PmDy3In4
1.0
-1.725 3.577 9.410
1.725 -3.577 9.410
1.725 3.577 -9.410
Pm Dy In
1 3 4
Direct
0.000 0.000 0.000
0.220 0.720 0.500
0.500 0.500 0.000
0.780 0.280 0.500
0.162 0.872 0.290
0.418 0.128 0.290
0.582 0.872 0.710
0.838 0.128 0.710
```

Results
DOS(E_F) in states/eV/cell: 6.65
Energy above the lowest structure with this stoichiometry in eV/atom: 0.162
Volume in Å³/atom: 29.03

Record 2
## Mg2TlBr (PBE-GGA)

Data for a geometry-optimized Mg2TlBr structure.

Cell and atoms, written as POSCAR:
```
Mg2TlBr
1.0
3.527 0.000 0.000
0.000 5.659 0.000
-0.018 0.000 5.512
Mg Tl Br
2 1 1
Direct
0.235 0.000 0.244
0.765 0.000 0.756
0.500 0.500 0.500
0.000 0.500 0.000
```

Results
DOS(E_F) in states/eV/cell: 1.46
Formation energy without anion corrections in eV/atom: -0.19
Energy above the lowest structure with this stoichiometry in eV/atom: 0.176
Volume in Å³/atom: 27.50

Record 3
## SrNd3Sn2 (PBE-GGA)

Data for a geometry-optimized SrNd3Sn2 structure.

Cell and atoms, written as POSCAR:
```
SrNd3Sn2
1.0
9.398 -2.414 0.000
9.398 2.414 0.000
-4.047 0.000 8.960
Sr Nd Sn
2 6 4
Direct
0.113 0.113 0.130
0.887 0.887 0.870
0.052 0.052 0.684
0.306 0.306 0.115
0.352 0.352 0.519
0.648 0.648 0.481
0.694 0.694 0.885
0.948 0.948 0.316
0.238 0.238 0.709
0.490 0.490 0.151
0.510 0.510 0.849
0.762 0.762 0.291
```

Results
DOS(E_F) in states/eV/cell: 13.47
Energy in eV per atom: -4.47
Volume in Å³/atom: 33.89

Record 4
## K2CuTc (PBE-GGA)

Data for a geometry-optimized K2CuTc structure.

Cell and atoms, written as POSCAR:
```
K2CuTc
1.0
3.459 0.000 0.000
0.000 3.459 0.000
0.000 0.000 10.233
K Cu Tc
2 1 1
Direct
0.000 0.000 0.000
0.500 0.500 0.425
0.500 0.500 0.754
0.000 0.000 0.683
```

Results
DOS(E_F) in states/eV/cell: 5.08
Energy above the lowest structure with this stoichiometry in eV/atom: 0.032
Volume in Å³/atom: 30.62

Record 5
## Hf3Al2Pd8 (PBE-GGA)

Data for a geometry-optimized Hf3Al2Pd8 structure.

Cell and atoms, written as POSCAR:
```
Hf3Al2Pd8
1.0
2.656 1.534 9.330
-2.656 1.534 9.330
0.000 -3.067 9.330
Hf Al Pd
3 2 8
Direct
0.000 0.000 0.000
0.191 0.191 0.191
0.809 0.809 0.809
0.369 0.369 0.369
0.631 0.631 0.631
0.224 0.729 0.729
0.271 0.271 0.776
0.271 0.776 0.271
0.286 0.286 0.286
0.714 0.714 0.714
0.729 0.224 0.729
0.729 0.729 0.224
0.776 0.271 0.271
```

Results
DOS(E_F) in states/eV/cell: 5.95
Energy in eV per atom: -6.58
Volume in Å³/atom: 17.54

Record 6
## TaTlZn2 (PBE-GGA)

Data for a geometry-optimized TaTlZn2 structure.

Cell and atoms, written as POSCAR:
```
TaTlZn2
1.0
-1.966 1.966 4.653
1.966 -1.966 4.653
1.966 1.966 -4.653
Ta Tl Zn
1 1 2
Direct
0.000 0.000 0.000
0.250 0.750 0.500
0.500 0.500 0.000
0.750 0.250 0.500
```

Results
DOS(E_F) in states/eV/cell: 3.24
Energy above the lowest structure with this stoichiometry in eV/atom: 0.175
Volume in Å³/atom: 17.99

Record 7
## Na2UP3Pt4 (PBE-GGA)

Data for a geometry-optimized Na2UP3Pt4 structure.

Cell and atoms, written as POSCAR:
```
Na2UP3Pt4
1.0
4.072 0.000 0.000
0.000 4.072 0.000
0.000 0.000 11.292
Na U P Pt
2 1 3 4
Direct
0.000 0.500 0.225
0.500 0.000 0.775
0.000 0.000 0.500
0.000 0.500 0.878
0.500 0.000 0.122
0.500 0.500 0.500
0.000 0.000 0.000
0.000 0.500 0.676
0.500 0.000 0.324
0.500 0.500 0.000
```

Results
DOS(E_F) in states/eV/cell: 9.99
Energy in eV per atom: -5.90
Volume in Å³/atom: 18.72

Record 8
## ZrAg3Bi3Se8 (PBE-GGA)

Data for a geometry-optimized ZrAg3Bi3Se8 structure.

Cell and atoms, written as POSCAR:
```
ZrAg3Bi3Se8
1.0
4.157 2.400 6.651
-4.157 2.400 6.651
0.000 -4.800 6.651
Zr Ag Bi Se
1 3 3 8
Direct
0.000 0.000 0.000
0.000 0.000 0.500
0.000 0.500 0.000
0.500 0.000 0.000
0.000 0.500 0.500
0.500 0.000 0.500
0.500 0.500 0.000
0.231 0.764 0.764
0.236 0.236 0.769
0.236 0.769 0.236
0.244 0.244 0.244
0.756 0.756 0.756
0.764 0.231 0.764
0.764 0.764 0.231
0.769 0.236 0.236
```

Results
DOS(E_F) in states/eV/cell: 0.10
Formation energy without anion corrections in eV/atom: -0.46
Volume in Å³/atom: 26.54

Record 9
## InPb2Au (PBE-GGA)

Data for a geometry-optimized InPb2Au structure.

Cell and atoms, written as POSCAR:
```
InPb2Au
1.0
2.387 1.378 5.976
-2.387 1.378 5.976
0.000 -2.756 5.976
In Pb Au
1 2 1
Direct
0.000 0.000 0.000
0.571 0.571 0.571
0.771 0.771 0.771
0.167 0.167 0.167
```

Results
DOS(E_F) in states/eV/cell: 1.82
Energy in eV per atom: -3.35
Volume in Å³/atom: 29.48

Record 10
## SnBi2Pd6 (PBE-GGA)

Data for a geometry-optimized SnBi2Pd6 structure.

Cell and atoms, written as POSCAR:
```
SnBi2Pd6
1.0
7.031 -3.909 0.000
7.031 3.909 0.000
-0.777 0.000 3.214
Sn Bi Pd
1 2 6
Direct
0.000 0.000 0.000
0.337 0.337 0.335
0.663 0.663 0.665
0.031 0.636 0.833
0.280 0.720 0.500
0.364 0.969 0.167
0.636 0.031 0.833
0.720 0.280 0.500
0.969 0.364 0.167
```

Results
DOS(E_F) in states/eV/cell: 3.58
Energy in eV per atom: -5.03
Volume in Å³/atom: 19.63

Record 11
## CaPmGa6 (PBE-GGA)

Data for a geometry-optimized CaPmGa6 structure.

Cell and atoms, written as POSCAR:
```
CaPmGa6
1.0
4.434 0.000 0.000
0.000 6.062 0.000
0.000 0.000 6.175
Ca Pm Ga
1 1 6
Direct
0.000 0.000 0.000
0.500 0.500 0.211
0.000 0.252 0.468
0.000 0.500 0.851
0.000 0.748 0.468
0.500 0.000 0.357
0.500 0.246 0.744
0.500 0.754 0.744
```

Results
DOS(E_F) in states/eV/cell: 3.72
Energy in eV per atom: -3.55
Volume in Å³/atom: 20.75

Record 12
## BMoP (PBE-GGA)

Data for a geometry-optimized BMoP structure.

Cell and atoms, written as POSCAR:
```
BMoP
1.0
1.587 -8.329 0.000
1.587 8.329 0.000
0.000 0.000 3.062
B Mo P
2 2 2
Direct
0.027 0.973 0.750
0.973 0.027 0.250
0.425 0.575 0.750
0.575 0.425 0.250
0.160 0.840 0.750
0.840 0.160 0.250
```

Results
DOS(E_F) in states/eV/cell: 1.74
Energy in eV per atom: -7.82
Volume in Å³/atom: 13.49

Record 13
## CsAcAgI5 (PBE-GGA)

Data for a geometry-optimized CsAcAgI5 structure.

Cell and atoms, written as POSCAR:
```
CsAcAgI5
1.0
5.306 -7.154 0.000
5.306 7.154 0.000
-4.586 0.000 11.229
Cs Ac Ag I
2 2 2 10
Direct
0.142 0.858 0.750
0.858 0.142 0.250
0.500 0.500 0.000
0.500 0.500 0.500
0.189 0.811 0.250
0.811 0.189 0.750
0.116 0.259 0.936
0.179 0.590 0.390
0.259 0.116 0.436
0.410 0.821 0.110
0.413 0.587 0.750
0.587 0.413 0.250
0.590 0.179 0.890
0.741 0.884 0.564
0.821 0.410 0.610
0.884 0.741 0.064
```

Results
DOS(E_F) in states/eV/cell: 0.00
Formation energy without anion corrections in eV/atom: -1.22
Volume in Å³/atom: 53.29

Record 14
## CdBr3 (PBE-GGA)

Data for a geometry-optimized CdBr3 structure.

Cell and atoms, written as POSCAR:
```
CdBr3
1.0
2.644 1.527 8.782
-2.644 1.527 8.782
0.000 -3.053 8.782
Cd Br
1 3
Direct
0.000 0.000 0.000
0.092 0.092 0.092
0.500 0.500 0.500
0.908 0.908 0.908
```

Results
DOS(E_F) in states/eV/cell: 8.14
Formation energy without anion corrections in eV/atom: -0.08
Volume in Å³/atom: 53.18

Record 15
## Cs2Cd3InHg4 (PBE-GGA)

Data for a geometry-optimized Cs2Cd3InHg4 structure.

Cell and atoms, written as POSCAR:
```
Cs2Cd3InHg4
1.0
5.422 0.000 0.000
0.000 5.422 0.000
0.000 0.000 11.466
Cs Cd In Hg
2 3 1 4
Direct
0.000 0.500 0.243
0.500 0.000 0.757
0.000 0.500 0.880
0.500 0.000 0.120
0.500 0.500 0.500
0.000 0.000 0.500
0.000 0.000 0.000
0.000 0.500 0.619
0.500 0.000 0.381
0.500 0.500 0.000
```

Results
DOS(E_F) in states/eV/cell: 4.39
Energy in eV per atom: -0.97
Volume in Å³/atom: 33.71

Record 16
## BaAg4As (PBE-GGA)

Data for a geometry-optimized BaAg4As structure.

Cell and atoms, written as POSCAR:
```
BaAg4As
1.0
0.000 4.090 4.090
4.090 0.000 4.090
4.090 4.090 0.000
Ba Ag As
1 4 1
Direct
0.000 0.000 0.000
0.126 0.625 0.625
0.625 0.126 0.625
0.625 0.625 0.126
0.625 0.625 0.625
0.250 0.250 0.250
```

Results
DOS(E_F) in states/eV/cell: 1.37
Energy in eV per atom: -3.13
Volume in Å³/atom: 22.81

Record 17
## AcCePb2 (PBE-GGA)

Data for a geometry-optimized AcCePb2 structure.

Cell and atoms, written as POSCAR:
```
AcCePb2
1.0
0.000 4.062 4.062
4.062 0.000 4.062
4.062 4.062 0.000
Ac Ce Pb
1 1 2
Direct
0.000 0.000 0.000
0.500 0.500 0.500
0.250 0.250 0.250
0.750 0.750 0.750
```

Results
DOS(E_F) in states/eV/cell: 9.71
Energy in eV per atom: -4.73
Volume in Å³/atom: 33.50

Record 18
## RbInSn2 (PBE-GGA)

Data for a geometry-optimized RbInSn2 structure.

Cell and atoms, written as POSCAR:
```
RbInSn2
1.0
2.558 1.477 6.757
-2.558 1.477 6.757
0.000 -2.954 6.757
Rb In Sn
1 1 2
Direct
0.000 0.000 0.000
0.500 0.500 0.500
0.208 0.208 0.208
0.792 0.792 0.792
```

Results
DOS(E_F) in states/eV/cell: 3.64
Energy in eV per atom: -2.95
Volume in Å³/atom: 38.30

Record 19
## Nd8Hg2Ru (PBE-GGA)

Data for a geometry-optimized Nd8Hg2Ru structure.

Cell and atoms, written as POSCAR:
```
Nd8Hg2Ru
1.0
9.108 -2.662 0.000
9.108 2.662 0.000
-1.565 0.000 6.900
Nd Hg Ru
8 2 1
Direct
0.023 0.023 0.284
0.200 0.200 0.806
0.348 0.348 0.540
0.412 0.412 0.066
0.588 0.588 0.934
0.652 0.652 0.460
0.800 0.800 0.194
0.977 0.977 0.716
0.191 0.191 0.233
0.809 0.809 0.767
0.500 0.500 0.500
```

Results
DOS(E_F) in states/eV/cell: 10.81
Energy above the lowest structure with this stoichiometry in eV/atom: 0.000
Volume in Å³/atom: 30.42

Record 20
## AcNiAgH6 (PBE-GGA)

Data for a geometry-optimized AcNiAgH6 structure.

Cell and atoms, written as POSCAR:
```
AcNiAgH6
1.0
4.732 0.000 0.000
-2.366 4.098 0.000
0.000 0.000 4.711
Ac Ni Ag H
1 1 1 6
Direct
0.000 0.000 0.000
0.667 0.333 0.500
0.333 0.667 0.500
0.521 0.042 0.258
0.521 0.042 0.742
0.521 0.479 0.258
0.521 0.479 0.742
0.958 0.479 0.258
0.958 0.479 0.742
```

Results
DOS(E_F) in states/eV/cell: 2.44
Energy in eV per atom: -3.86
Volume in Å³/atom: 10.15